No. 1
MgTlPt6 (PBE, optimized geometry); total magnetization = 0.0 Bohr magnetons per cell; DOS at the Fermi energy = 0.934 states/eV per atom; space group = P4/mmm (123); ΔE_f = -2.55 eV/f.u.
1.0
-3.0112 2.2124 -1.4701
0.6349 -1.5584 -3.6458
-5.2148 -5.9976 1.6555
Mg Tl Pt
1 1 6
Direct
0.0000 0.0000 0.5000
0.0000 0.0000 0.0000
0.5000 0.5000 0.0000
0.5000 0.5000 0.5000
0.5000 0.0000 0.2623
0.5000 0.0000 0.7377
0.0000 0.5000 0.2623
0.0000 0.5000 0.7377

***

No. 2
Mg2TlPt (PBE, optimized geometry); total magnetization = 0.0 Bohr magnetons per cell; DOS at the Fermi energy = 0.547 states/eV per atom; space group = R3m (160); ΔE_f = -0.36 eV/f.u.
1.0
-8.2696 1.6180 -4.5072
-8.0780 -1.5895 -4.8516
-9.3070 -0.3257 -2.1432
Mg Pt Tl
2 1 1
Direct
0.0004 0.0004 0.0004
0.2394 0.2394 0.2394
0.5045 0.5045 0.5045
0.7557 0.7557 0.7557

***

No. 3
MgTl2Pt (PBE, optimized geometry); excess energy over the best structure of this formula in the dataset = 0.017 eV per atom; total magnetization = 0.0 Bohr magnetons per cell; DOS at the Fermi energy = 0.309 states/eV per atom; space group = Pmm2 (25); ΔE_f = -0.83 eV/f.u.
1.0
3.3277 0.0000 0.0000
0.0000 3.5511 0.0000
0.0000 0.0000 7.8271
Mg Pt Tl
1 1 2
Direct
0.0000 0.0000 0.5579
0.5000 0.5000 0.7056
0.0000 0.0000 0.9526
0.5000 0.5000 0.2839

***

No. 4
MgTl4Pt (PBE, optimized geometry); total magnetization = 0.0 Bohr magnetons per cell; DOS at the Fermi energy = 0.360 states/eV per atom; space group = F-43m (216); ΔE_f = 2.56 eV/f.u.
1.0
0.0000 4.3615 4.3615
4.3615 0.0000 4.3615
4.3615 4.3615 0.0000
Mg Tl Pt
1 4 1
Direct
0.7500 0.7500 0.7500
0.8768 0.3744 0.3744
0.3744 0.3744 0.8768
0.3744 0.8768 0.3744
0.3744 0.3744 0.3744
0.0000 0.0000 0.0000

***

No. 5
Mg2TlPt (PBE, optimized geometry); total magnetization = 0.0 Bohr magnetons per cell; DOS at the Fermi energy = 0.361 states/eV per atom; space group = Fm-3m (225); ΔE_f = -1.42 eV/f.u.
1.0
-2.5201 -4.0492 -0.1280
-2.4733 -1.3928 3.8349
-4.7683 0.1583 -0.0498
Tl Mg Pt
1 2 1
Direct
0.5000 0.5000 0.5000
0.2500 0.2500 0.2500
0.7500 0.7500 0.7500
0.0000 0.0000 0.0000

***

No. 6
Mg2TlPt (PBE, optimized geometry); total magnetization = 0.0 Bohr magnetons per cell; DOS at the Fermi energy = 0.313 states/eV per atom; space group = C2/m (12); ΔE_f = -1.02 eV/f.u.
1.0
4.8461 0.0146 -0.0070
3.7191 3.1070 -0.0070
1.2121 0.4417 5.4553
Mg Pt Tl
2 1 1
Direct
0.0159 0.0159 0.9651
0.4841 0.4841 0.5349
0.7500 0.7500 0.7500
0.2500 0.2500 0.2500